Entry 1:
VASP calculation (PBE) on a geometry-optimized MgMn4P structure.

Cell and atoms, written as POSCAR:
```
MgMn4P
1.0
-2.8040 -1.4527 3.5370
-3.4685 -3.1187 -0.8523
0.3487 -4.4383 1.6319
Mg Mn P
1 4 1
direct
0.0000 0.0000 0.0000 Mg
0.8731 0.3756 0.3756 Mn
0.3756 0.3756 0.8731 Mn
0.3756 0.8731 0.3756 Mn
0.3756 0.3756 0.3756 Mn
0.7500 0.7500 0.7500 P
```

Calculated formation energy ... 0.33 eV/atom
Size of the total moment ... 0.623 μB per atom

Entry 2:
VASP calculation (PBE) on a geometry-optimized MgMnP3 structure.

Cell and atoms, written as POSCAR:
```
MgMnP3
1.0
4.6769 0.0000 0.0000
0.0000 4.6769 0.0000
0.0000 0.0000 4.6769
P Mg Mn
3 1 1
direct
0.0000 0.5000 0.0000 P
0.0000 0.0000 0.5000 P
0.5000 0.0000 0.0000 P
0.0000 0.0000 0.0000 Mg
0.5000 0.5000 0.5000 Mn
```

Calculated formation energy ... 1.55 eV/atom
Size of the total moment ... 0.016 μB per atom

Entry 3:
VASP calculation (PBE) on a geometry-optimized MgMnP structure.

Cell and atoms, written as POSCAR:
```
MgMnP
1.0
-1.9807 -0.5211 -2.6888
-1.0454 -2.9232 1.3366
-5.9219 3.7777 3.6302
Mg Mn P
2 2 2
direct
0.5000 0.0000 0.1238 Mg
0.0000 0.5000 0.8762 Mg
0.5000 0.0000 0.6869 Mn
0.0000 0.5000 0.3131 Mn
0.0000 0.0000 0.5000 P
0.5000 0.5000 0.5000 P
```

Calculated formation energy ... -0.10 eV/atom
Size of the total moment ... 0.187 μB per atom

Entry 4:
VASP calculation (PBE) on a geometry-optimized MgMnP structure.

Cell and atoms, written as POSCAR:
```
MgMnP
1.0
4.1717 0.0000 0.0000
2.0859 3.6128 0.0000
2.0859 1.2043 3.4062
Mg Mn P
1 1 1
direct
0.0000 0.0000 0.0000 Mg
0.5000 0.5000 0.5000 Mn
0.7500 0.7500 0.7500 P
```

Calculated formation energy ... -0.18 eV/atom
Size of the total moment ... 1.289 μB per atom

The records above give, respectively, DOS(E_F) values of 8.727; 6.202; 3.854; 1.898 states/eV per cell.